No. 1
# ScSbC2 GGA-PBEsol optimized geometry
data_ScSbC2
_symmetry_space_group_name_H-M 'I -4 2 d'
_symmetry_Int_Tables_number 122
_symmetry_space_group_name_Hall 'I -4 2bw'
_cell_length_a 5.2385
_cell_length_b 5.2385
_cell_length_c 9.1853
_cell_angle_alpha 90.00
_cell_angle_beta 90.00
_cell_angle_gamma 90.00
loop_
_atom_site_label
_atom_site_type_symbol
_atom_site_fract_x
_atom_site_fract_y
_atom_site_fract_z
_atom_site_occupancy
Sc1 Sc 0.0000 0.0000 0.0000 1
Sb1 Sb 0.0000 0.0000 0.5000 1
C1 C 0.2357 0.2500 0.6250 1
# size of the total moment = 0.000 μB per formula unit
# electronic total energy = -113.824 eV for the cell shown

=====

No. 2
# Sc2SbC GGA-PBEsol optimized geometry
data_Sc2SbC
_symmetry_space_group_name_H-M 'R -3 m'
_symmetry_Int_Tables_number 166
_symmetry_space_group_name_Hall '-R 3 2"'
_cell_length_a 3.3788
_cell_length_b 3.3788
_cell_length_c 24.3287
_cell_angle_alpha 90.00
_cell_angle_beta 90.00
_cell_angle_gamma 120.00
loop_
_atom_site_label
_atom_site_type_symbol
_atom_site_fract_x
_atom_site_fract_y
_atom_site_fract_z
_atom_site_occupancy
Sc1 Sc 0.0000 0.0000 0.1191 1
Sb1 Sb 0.0000 0.0000 0.0000 1
C1 C 0.0000 0.0000 0.5000 1
# size of the total moment = 0.000 μB per formula unit
# electronic total energy = -87.847 eV for the cell shown

=====

No. 3
# ScSbTeC2 GGA-PBEsol optimized geometry
data_ScSbTeC2
_symmetry_space_group_name_H-M 'P 4/m m m'
_symmetry_Int_Tables_number 123
_symmetry_space_group_name_Hall '-P 4 2'
_cell_length_a 4.1931
_cell_length_b 4.1931
_cell_length_c 5.8686
_cell_angle_alpha 90.00
_cell_angle_beta 90.00
_cell_angle_gamma 90.00
loop_
_atom_site_label
_atom_site_type_symbol
_atom_site_fract_x
_atom_site_fract_y
_atom_site_fract_z
_atom_site_occupancy
Sc1 Sc 0.0000 0.0000 0.0000 1
Sb1 Sb 0.5000 0.5000 0.5000 1
Te1 Te 0.5000 0.5000 0.0000 1
C1 C 0.0000 0.5000 0.5000 1
# size of the total moment = 0.003 μB per formula unit
# electronic total energy = -25.734 eV for the cell shown

=====

No. 4
# Si2SbCSe GGA-PBEsol optimized geometry
data_Si2SbCSe
_symmetry_space_group_name_H-M 'P 4/m m m'
_symmetry_Int_Tables_number 123
_symmetry_space_group_name_Hall '-P 4 2'
_cell_length_a 4.0970
_cell_length_b 4.0970
_cell_length_c 5.1194
_cell_angle_alpha 90.00
_cell_angle_beta 90.00
_cell_angle_gamma 90.00
loop_
_atom_site_label
_atom_site_type_symbol
_atom_site_fract_x
_atom_site_fract_y
_atom_site_fract_z
_atom_site_occupancy
Si1 Si 0.0000 0.5000 0.0000 1
Sb1 Sb 0.0000 0.0000 0.5000 1
C1 C 0.0000 0.0000 0.0000 1
Se1 Se 0.5000 0.5000 0.5000 1
# size of the total moment = 0.000 μB per formula unit
# electronic total energy = -25.144 eV for the cell shown

=====

No. 5
# Si2SbC GGA-PBEsol optimized geometry
data_Si2SbC
_symmetry_space_group_name_H-M 'I -4 2 d'
_symmetry_Int_Tables_number 122
_symmetry_space_group_name_Hall 'I -4 2bw'
_cell_length_a 5.6271
_cell_length_b 5.6271
_cell_length_c 8.1758
_cell_angle_alpha 90.00
_cell_angle_beta 90.00
_cell_angle_gamma 90.00
loop_
_atom_site_label
_atom_site_type_symbol
_atom_site_fract_x
_atom_site_fract_y
_atom_site_fract_z
_atom_site_occupancy
Si1 Si 0.1463 0.2500 0.1250 1
Sb1 Sb 0.0000 0.0000 0.5000 1
C1 C 0.0000 0.0000 0.0000 1
# size of the total moment = 0.000 μB per formula unit
# electronic total energy = -96.895 eV for the cell shown

=====

No. 6
# SnSb2TeC GGA-PBEsol optimized geometry
data_SnSb2TeC
_symmetry_space_group_name_H-M 'P 4/m m m'
_symmetry_Int_Tables_number 123
_symmetry_space_group_name_Hall '-P 4 2'
_cell_length_a 4.8285
_cell_length_b 4.8285
_cell_length_c 4.7857
_cell_angle_alpha 90.00
_cell_angle_beta 90.00
_cell_angle_gamma 90.00
loop_
_atom_site_label
_atom_site_type_symbol
_atom_site_fract_x
_atom_site_fract_y
_atom_site_fract_z
_atom_site_occupancy
Sn1 Sn 0.0000 0.0000 0.0000 1
Sb1 Sb 0.0000 0.5000 0.5000 1
Te1 Te 0.5000 0.5000 0.0000 1
C1 C 0.5000 0.5000 0.5000 1
# size of the total moment = 0.001 μB per formula unit
# electronic total energy = -22.554 eV for the cell shown

=====

No. 7
# Ta2SbC GGA-PBEsol optimized geometry
data_Ta2SbC
_symmetry_space_group_name_H-M 'F m -3 m'
_symmetry_Int_Tables_number 225
_symmetry_space_group_name_Hall '-F 4 2 3'
_cell_length_a 6.2830
_cell_length_b 6.2830
_cell_length_c 6.2830
_cell_angle_alpha 90.00
_cell_angle_beta 90.00
_cell_angle_gamma 90.00
loop_
_atom_site_label
_atom_site_type_symbol
_atom_site_fract_x
_atom_site_fract_y
_atom_site_fract_z
_atom_site_occupancy
Ta1 Ta 0.2500 0.2500 0.2500 1
Sb1 Sb 0.0000 0.0000 0.0000 1
C1 C 0.0000 0.0000 0.5000 1
# size of the total moment = 0.000 μB per formula unit
# electronic total energy = -142.614 eV for the cell shown

=====

No. 8
# TcSbC2 GGA-PBEsol optimized geometry
data_TcSbC2
_symmetry_space_group_name_H-M 'I -4 2 d'
_symmetry_Int_Tables_number 122
_symmetry_space_group_name_Hall 'I -4 2bw'
_cell_length_a 4.8579
_cell_length_b 4.8579
_cell_length_c 9.9418
_cell_angle_alpha 90.00
_cell_angle_beta 90.00
_cell_angle_gamma 90.00
loop_
_atom_site_label
_atom_site_type_symbol
_atom_site_fract_x
_atom_site_fract_y
_atom_site_fract_z
_atom_site_occupancy
Tc1 Tc 0.0000 0.0000 0.0000 1
Sb1 Sb 0.0000 0.0000 0.5000 1
C1 C 0.1886 0.2500 0.1250 1
# size of the total moment = 0.000 μB per formula unit
# electronic total energy = -124.674 eV for the cell shown